[1]
An optimized crystal structure of NdHCl, computed with PBE.

```
data_NdHCl
_chemical_formula_sum 'Nd4 H4 Cl4'
_space_group_name_H-M_alt 'F -4 3 m'
_space_group_IT_number 216
_space_group_name_Hall 'F -4 2 3'
_cell_length_a 6.365
_cell_length_b 6.365
_cell_length_c 6.365
_cell_angle_alpha 90.00
_cell_angle_beta 90.00
_cell_angle_gamma 90.00
loop_
_atom_site_label
_atom_site_fract_x
_atom_site_fract_y
_atom_site_fract_z
Nd1 0.000 0.000 0.000
H1 0.250 0.250 0.750
Cl1 0.250 0.250 0.250
```

[2]
# NdHCl4 | the Alexandria database | PBE | optimized geometry
# Polymorph energy (0 for the lowest one), meV/atom: 0.0
data_NdHCl4
_chemical_formula_sum 'Nd4 H4 Cl16'
_space_group_name_H-M_alt 'C 1 c 1'
_space_group_IT_number 9
_space_group_name_Hall 'C -2yc'
_cell_length_a 9.692
_cell_length_b 10.549
_cell_length_c 6.875
_cell_angle_alpha 90.00
_cell_angle_beta 111.02
_cell_angle_gamma 90.00
loop_
_atom_site_label
_atom_site_fract_x
_atom_site_fract_y
_atom_site_fract_z
Nd1 0.000 0.131 0.000
H1 0.145 0.379 0.771
Cl1 0.005 0.369 0.758
Cl2 0.166 0.059 0.771
Cl3 0.211 0.281 0.288
Cl4 0.361 0.407 0.794

[3]
An optimized crystal structure of NdHCl, computed with PBE.

```
data_NdHCl
_chemical_formula_sum 'Nd4 H4 Cl4'
_space_group_name_H-M_alt 'I 4/m m m'
_space_group_IT_number 139
_space_group_name_Hall '-I 4 2'
_cell_length_a 4.330
_cell_length_b 4.330
_cell_length_c 12.579
_cell_angle_alpha 90.00
_cell_angle_beta 90.00
_cell_angle_gamma 90.00
loop_
_atom_site_label
_atom_site_fract_x
_atom_site_fract_y
_atom_site_fract_z
Nd1 0.000 0.000 0.151
H1 0.000 0.500 0.250
Cl1 0.000 0.500 0.000
```

[4]
# NdHCl4 | the Alexandria database | PBE | optimized geometry
# Polymorph energy (0 for the lowest one), meV/atom: 4.1
data_NdHCl4
_chemical_formula_sum 'Nd2 H2 Cl8'
_space_group_name_H-M_alt 'P 1 21/m 1'
_space_group_IT_number 11
_space_group_name_Hall '-P 2yb'
_cell_length_a 5.454
_cell_length_b 8.553
_cell_length_c 7.965
_cell_angle_alpha 90.00
_cell_angle_beta 105.40
_cell_angle_gamma 90.00
loop_
_atom_site_label
_atom_site_fract_x
_atom_site_fract_y
_atom_site_fract_z
Nd1 0.035 0.250 0.084
H1 0.100 0.250 0.569
Cl1 0.064 0.559 0.208
Cl2 0.284 0.250 0.493
Cl3 0.443 0.750 0.861

[5]
An optimized crystal structure of NdHCl, computed with PBE.

```
data_NdHCl
_chemical_formula_sum 'Nd4 H4 Cl4'
_space_group_name_H-M_alt 'C 1 2/m 1'
_space_group_IT_number 12
_space_group_name_Hall '-C 2y'
_cell_length_a 6.885
_cell_length_b 3.975
_cell_length_c 10.229
_cell_angle_alpha 90.00
_cell_angle_beta 93.26
_cell_angle_gamma 90.00
loop_
_atom_site_label
_atom_site_fract_x
_atom_site_fract_y
_atom_site_fract_z
Nd1 0.155 0.000 0.358
H1 0.174 0.000 0.584
Cl1 0.026 0.500 0.809
```

[6]
An optimized crystal structure of NdHCl, computed with PBE.

```
data_NdHCl
_chemical_formula_sum 'Nd2 H2 Cl2'
_space_group_name_H-M_alt 'I 4 m m'
_space_group_IT_number 107
_space_group_name_Hall 'I 4 -2'
_cell_length_a 3.417
_cell_length_b 3.417
_cell_length_c 9.612
_cell_angle_alpha 90.00
_cell_angle_beta 90.00
_cell_angle_gamma 90.00
loop_
_atom_site_label
_atom_site_fract_x
_atom_site_fract_y
_atom_site_fract_z
Nd1 0.000 0.000 0.000
H1 0.000 0.000 0.577
Cl1 0.000 0.000 0.304
```

[7]
An optimized crystal structure of NdHCl, computed with PBE.

```
data_NdHCl
_chemical_formula_sum 'Nd2 H2 Cl2'
_space_group_name_H-M_alt 'P -3 m 1'
_space_group_IT_number 164
_space_group_name_Hall '-P 3 2"'
_cell_length_a 3.9157
_cell_length_b 3.9157
_cell_length_c 10.5339
_cell_angle_alpha 90.00
_cell_angle_beta 90.00
_cell_angle_gamma 120.00
loop_
_atom_site_label
_atom_site_fract_x
_atom_site_fract_y
_atom_site_fract_z
Nd1 0.3333 0.6667 0.1732
H1 0.0000 0.0000 0.1440
Cl1 0.3333 0.6667 0.6631
```

[8]
An optimized crystal structure of Nd2HCl5, computed with PBE.

```
data_Nd2HCl5
_chemical_formula_sum 'Nd8 H4 Cl20'
_space_group_name_H-M_alt 'C m c m'
_space_group_IT_number 63
_space_group_name_Hall '-C 2c 2'
_cell_length_a 3.606
_cell_length_b 13.853
_cell_length_c 19.311
_cell_angle_alpha 90.00
_cell_angle_beta 90.00
_cell_angle_gamma 90.00
loop_
_atom_site_label
_atom_site_fract_x
_atom_site_fract_y
_atom_site_fract_z
Nd1 0.000 0.233 0.153
H1 0.000 0.325 0.750
Cl1 0.000 0.140 0.750
Cl2 0.000 0.165 0.575
Cl3 0.000 0.404 0.611
```

[9]
An optimized crystal structure of Nd6HOs2Cl3, computed with PBE.

```
data_Nd6HOs2Cl3
_chemical_formula_sum 'Nd12 H2 Os4 Cl6'
_space_group_name_H-M_alt 'C 1 2/m 1'
_space_group_IT_number 12
_space_group_name_Hall '-C 2y'
_cell_length_a 6.924
_cell_length_b 12.015
_cell_length_c 7.954
_cell_angle_alpha 90.00
_cell_angle_beta 107.03
_cell_angle_gamma 90.00
loop_
_atom_site_label
_atom_site_fract_x
_atom_site_fract_y
_atom_site_fract_z
Nd1 0.235 0.000 0.203
Nd2 0.236 0.333 0.206
H1 0.000 0.500 0.000
Os1 0.000 0.167 0.000
Cl1 0.000 0.000 0.500
Cl2 0.000 0.328 0.500
```

[10]
An optimized crystal structure of Nd8HOs3Cl4, computed with PBE.

```
data_Nd8HOs3Cl4
_chemical_formula_sum 'Nd24 H3 Os9 Cl12'
_space_group_name_H-M_alt 'R -3 m'
_space_group_IT_number 166
_space_group_name_Hall '-R 3 2"'
_cell_length_a 8.0282
_cell_length_b 8.0282
_cell_length_c 22.9231
_cell_angle_alpha 90.00
_cell_angle_beta 90.00
_cell_angle_gamma 120.00
loop_
_atom_site_label
_atom_site_fract_x
_atom_site_fract_y
_atom_site_fract_z
Nd1 0.0000 0.0000 0.2377
Nd2 0.0006 0.5003 0.7656
H1 0.0000 0.0000 0.5000
Os1 0.0000 0.5000 0.5000
Cl1 0.0000 0.0000 0.0000
Cl2 0.0000 0.5000 0.0000
```

[11]
An optimized crystal structure of Nd8HRh3Cl4, computed with PBE.

```
data_Nd8HRh3Cl4
_chemical_formula_sum 'Nd16 H2 Rh6 Cl8'
_space_group_name_H-M_alt 'C 1 2/m 1'
_space_group_IT_number 12
_space_group_name_Hall '-C 2y'
_cell_length_a 13.943
_cell_length_b 8.051
_cell_length_c 8.857
_cell_angle_alpha 90.00
_cell_angle_beta 121.69
_cell_angle_gamma 90.00
loop_
_atom_site_label
_atom_site_fract_x
_atom_site_fract_y
_atom_site_fract_z
Nd1 0.014 0.246 0.295
Nd2 0.232 0.000 0.705
Nd3 0.236 0.500 0.707
H1 0.000 0.000 0.500
Rh1 0.000 0.500 0.500
Rh2 0.250 0.250 0.500
Cl1 0.000 0.000 0.000
Cl2 0.000 0.500 0.000
Cl3 0.250 0.250 0.000
```

[12]
An optimized crystal structure of Nd2H2SCl, computed with PBE.

```
data_Nd2H2SCl
_chemical_formula_sum 'Nd2 H2 S1 Cl1'
_space_group_name_H-M_alt 'P -3 m 1'
_space_group_IT_number 164
_space_group_name_Hall '-P 3 2"'
_cell_length_a 3.9296
_cell_length_b 3.9296
_cell_length_c 8.0770
_cell_angle_alpha 90.00
_cell_angle_beta 90.00
_cell_angle_gamma 120.00
loop_
_atom_site_label
_atom_site_fract_x
_atom_site_fract_y
_atom_site_fract_z
Nd1 0.3333 0.6667 0.2181
H1 0.3333 0.6667 0.7432
S1 0.0000 0.0000 0.0000
Cl1 0.0000 0.0000 0.5000
```

Total DFT energy (no corrections), respectively: -0.31317, -0.31226, -0.33017, -0.31196, -0.34778, -0.32303, -0.33404, -0.32928, -0.43006, -0.43904, -0.40369, -0.37132 Ry/atom.